No. 1
A relaxed structure of CeScTcPt. Source: the Alexandria database, functional GGA-PBE.

```
CeScTcPt
1.0
-3.463 3.201 -0.866
-1.734 0.514 -4.441
-4.440 -1.491 -1.028
Tc Pt Ce Sc
1 1 1 1
direct
0.250 0.250 0.250 Tc
0.750 0.750 0.750 Pt
0.000 0.000 0.000 Ce
0.500 0.500 0.500 Sc
```

Calculated values
The calculated total energy is -7.75 eV per atom. For the formation enthalpy at 0 K, the calculation gives -0.5825 eV per atom. Its volume is 78 Å³/cell. The calculation puts the calculated density at 10.18 g/cm3. As for the size of the total moment: 0.0000 μB per atom.

No. 2
A relaxed structure of ScInP2. Source: the Alexandria database, functional GGA-PBE.

```
ScInP2
1.0
-5.349 -1.203 3.594
-3.408 -4.106 3.807
1.742 1.390 3.057
P Sc In
2 1 1
direct
0.206 0.206 0.375 P
0.978 0.978 0.875 P
0.540 0.540 0.375 Sc
0.776 0.776 0.875 In
```

Calculated values
The calculated total energy is -5.56 eV per atom. For the formation enthalpy at 0 K, the calculation gives -0.5905 eV per atom. Its volume is 84 Å³/cell. The calculation puts the calculated density at 4.40 g/cm3. As for the size of the total moment: 0.0000 μB per atom.

No. 3
A relaxed structure of SrZr2Hg. Source: the Alexandria database, functional GGA-PBE.

```
SrZr2Hg
1.0
3.337 0.000 0.000
0.000 5.369 0.000
0.000 0.000 5.841
Zr Sr Hg
2 1 1
direct
0.000 0.000 0.000 Zr
0.500 0.500 0.000 Zr
0.000 0.500 0.500 Sr
0.500 0.000 0.500 Hg
```

Calculated values
The calculated total energy is -4.52 eV per atom. For the formation enthalpy at 0 K, the calculation gives 0.2461 eV per atom. Its volume is 105 Å³/cell. The calculation puts the calculated density at 7.47 g/cm3. As for the size of the total moment: 0.0001 μB per atom.

No. 4
A relaxed structure of NiHSe2. Source: the Alexandria database, functional GGA-PBE.

```
NiHSe2
1.0
6.517 0.034 0.142
-1.401 3.659 -0.017
2.359 1.978 5.544
Se H Ni
4 2 2
direct
0.753 0.136 0.500 Se
0.131 0.776 0.552 Se
0.256 0.211 0.940 Se
0.629 0.701 0.112 Se
0.671 0.115 0.984 H
0.214 0.798 0.068 H
0.186 0.384 0.304 Ni
0.699 0.529 0.748 Ni
```

Calculated values
The calculated total energy is -4.12 eV per atom. The calculation puts the excess energy over the best structure of this formula in the dataset at 0.134 eV/f.u. Its volume is 131 Å³/cell. The calculation puts the calculated density at 5.52 g/cm3. As for the size of the total moment: 0.0000 μB per atom.

- The highest size of the total moment belongs to which entry?
  SrZr2Hg

- Among the records above, which one has the lowest calculated density?
  ScInP2